A plane-wave DFT calculation with GGA-PBE was carried out for a geometry-optimized Rb2BeTe3 structure.

Unit cell a=10.568 b=4.521 c=19.822 alpha=90.00 beta=90.00 gamma=90.00
Space group Pnma (No. 62)
Inequivalent atoms, fractional coordinates:
1 Rb 0.162 0.250 0.096 (multiplicity 4)
2 Rb 0.221 0.250 0.298 (multiplicity 4)
3 Be 0.038 0.750 0.446 (multiplicity 4)
4 Te 0.000 0.250 0.789 (multiplicity 4)
5 Te 0.091 0.250 0.655 (multiplicity 4)
6 Te 0.151 0.250 0.479 (multiplicity 4)

- uncorrected formation energy (eV/atom) = -0.58
- spin magnetization (μB per formula unit) = 0.000
- total DFT energy (no corrections) (eV/f.u.) = -18.59
- density of states at the Fermi level (states/eV/f.u.) = 0.24
- crystal system = orthorhombic